Arrangement one

A geometry-optimized YGa3Hg structure. Source: the Alexandria database, functional PBE-GGA.

Unit cell a=5.662 b=5.662 c=5.662 alpha=90.00 beta=90.00 gamma=90.00
Fractional positions:
Y  0.000  0.000  0.000
Ga  0.000  0.000  0.500
Ga  0.000  0.500  0.000
Ga  0.500  0.000  0.000
Hg  0.500  0.500  0.500

Crystal system = cubic
Symmetry = Pm-3m (221)

Arrangement two

A geometry-optimized YGa3Hg structure. Source: the Alexandria database, functional PBE-GGA.

Unit cell a=5.124 b=5.124 c=5.124 alpha=90.00 beta=90.00 gamma=90.00
Fractional positions:
Y  0.000  0.000  0.000
Ga  0.000  0.500  0.500
Ga  0.500  0.000  0.500
Ga  0.500  0.500  0.000
Hg  0.500  0.500  0.500

Crystal system = cubic
Symmetry = Pm-3m (221)

Energies relative to the most stable structure are arrangement one 28.7; arrangement two 0.0, reported in kJ/mol of atoms.

Arrangement one

A geometry-optimized ZnGaHg2 structure. Source: the Alexandria database, functional PBE-GGA.

Unit cell a=7.834 b=7.834 c=5.965 alpha=90.00 beta=90.00 gamma=90.00
Fractional positions:
Zn  0.000  0.000  0.000
Zn  0.000  0.500  0.250
Zn  0.500  0.000  0.750
Zn  0.500  0.500  0.500
Ga  0.000  0.000  0.500
Ga  0.000  0.500  0.750
Ga  0.500  0.000  0.250
Ga  0.500  0.500  0.000
Hg  0.242  0.750  0.125
Hg  0.250  0.242  0.875
Hg  0.250  0.258  0.375
Hg  0.258  0.750  0.625
Hg  0.742  0.250  0.625
Hg  0.750  0.742  0.375
Hg  0.750  0.758  0.875
Hg  0.758  0.250  0.125

Crystal system = tetragonal
Symmetry = I-42d (122)

Arrangement two

A geometry-optimized ZnGaHg2 structure. Source: the Alexandria database, functional PBE-GGA.

Unit cell a=3.563 b=3.563 c=24.595 alpha=90.00 beta=90.00 gamma=120.00
Fractional positions:
Zn  0.000  0.000  0.000
Zn  0.333  0.667  0.667
Zn  0.667  0.333  0.333
Ga  0.000  0.000  0.832
Ga  0.333  0.667  0.499
Ga  0.667  0.333  0.166
Hg  0.000  0.000  0.413
Hg  0.000  0.000  0.586
Hg  0.333  0.667  0.080
Hg  0.333  0.667  0.253
Hg  0.667  0.333  0.746
Hg  0.667  0.333  0.919

Crystal system = trigonal
Symmetry = R3m (160)

Energies relative to the most stable structure are arrangement one 1.5; arrangement two 0.0, reported in kJ/mol of atoms.